Below is CaVP2O7 after structural relaxation, with properties calculated at the GGA+U level.

Cell lengths 6.5843, 6.6717, 6.7616 Å; angles 65.96, 86.97, 82.67 degrees
Space group P-1 (No. 2)
Inequivalent atoms, fractional coordinates:
Ca 0.1361 0.2298 0.3238 x2
V 0.3477 0.3974 0.7265 x2
P 0.1476 0.7315 0.2470 x2
P 0.3706 0.8593 0.8260 x2
O 0.0180 0.3922 0.7909 x2
O 0.0701 0.8821 0.3593 x2
O 0.2334 0.8934 0.0209 x2
O 0.2618 0.7077 0.7603 x2
O 0.3277 0.5539 0.3656 x2
O 0.3683 0.0968 0.6544 x2
O 0.4143 0.2434 0.0792 x2

## Properties
Total magnetic moment in μB per cell: 6.00
E_tot in eV per atom: -7.4535
Theoretical density in g cm⁻³: 3.27